1.
Material: AcNd12Dy5
Method: DFT, PBE-GGA
State: relaxed

a = 15.5252 Å, b = 10.9797 Å, c = 5.1741 Å
α = 90.00°, β = 90.01°, γ = 45.05°
Last column: nearest neighbours and their distance in Å.
Fractional coordinates of all 18 atoms:
Dy 0.5000 0.0000 0.5000  8 Nd 3.62-3.63, 4 Dy 3.66
Nd 0.9983 0.3377 0.0000  8 Nd 3.60-3.71, 3 Dy 3.65-3.66, 1 Ac 3.69
Nd 0.1699 0.3321 0.5000  4 Dy 3.59-3.63, 8 Nd 3.64-3.73
Nd 0.5018 0.6682 0.5000  4 Dy 3.60-3.63, 8 Nd 3.64-3.73
Nd 0.6639 0.3379 0.0000  8 Nd 3.60-3.71, 3 Dy 3.64-3.66, 1 Ac 3.69
Nd 0.8298 0.0000 0.5000  8 Nd 3.64-3.69, 2 Ac 3.70, 2 Dy 3.74-3.75
Dy 0.6666 0.6669 0.0000  4 Dy 3.62-3.66, 8 Nd 3.63-3.65
Ac 0.0000 0.0000 0.0000  8 Nd 3.69-3.70, 4 Dy 3.70
Nd 0.6641 0.9998 0.0000  4 Dy 3.63, 8 Nd 3.65-3.71
Dy 0.1706 0.6587 0.5000  8 Nd 3.59-3.75, 2 Dy 3.62, 2 Ac 3.70
Dy 0.8294 0.3413 0.5000  8 Nd 3.59-3.75, 2 Dy 3.62, 2 Ac 3.70
Nd 0.3359 0.0002 0.0000  4 Dy 3.63, 8 Nd 3.65-3.71
Dy 0.3334 0.3331 0.0000  4 Dy 3.62-3.66, 8 Nd 3.63-3.65
Nd 0.1702 0.0000 0.5000  8 Nd 3.64-3.69, 2 Ac 3.70, 2 Dy 3.74-3.75
Nd 0.4982 0.3318 0.5000  4 Dy 3.60-3.63, 8 Nd 3.64-3.73
Nd 0.3361 0.6621 0.0000  8 Nd 3.60-3.71, 3 Dy 3.64-3.66, 1 Ac 3.69
Nd 0.0017 0.6623 0.0000  8 Nd 3.60-3.71, 3 Dy 3.65-3.66, 1 Ac 3.69
Nd 0.8301 0.6679 0.5000  4 Dy 3.59-3.63, 8 Nd 3.64-3.73

2.
Material: K2Ag2SnS4
Method: DFT, PBE-GGA
State: relaxed

Calculated values
For the uncorrected formation energy, the calculation gives -0.568 eV per atom.

a = 4.0376 Å, b = 7.7620 Å, c = 7.9701 Å
α = 113.68°, β = 104.67°, γ = 90.00°
Last column: nearest neighbours and their distance in Å.
Fractional coordinates of all 9 atoms:
K 0.1413 0.5552 0.2827  5 S 3.24-3.30, 2 Ag 3.54
Sn 0.0000 0.0000 0.0000  6 S 2.61-2.72
Ag 0.6833 0.9562 0.3665  4 S 2.51-2.67, 2 Ag 2.76
S 0.8144 0.8176 0.6289  1 Sn 2.61, 3 Ag 2.66-2.67
S 0.5060 0.7707 0.0120  1 Ag 2.51, 2 Sn 2.72
Ag 0.3167 0.0438 0.6335  4 S 2.51-2.67, 2 Ag 2.76
S 0.4940 0.2293 0.9880  1 Ag 2.51, 2 Sn 2.72
K 0.8587 0.4448 0.7173  5 S 3.24-3.30, 2 Ag 3.54
S 0.1856 0.1824 0.3711  1 Sn 2.61, 3 Ag 2.66-2.67

3.
Material: AlPdO2
Method: DFT, PBE-GGA
State: relaxed

Calculated values
For the uncorrected formation energy, the calculation gives -1.420 eV per atom.

a = 6.6051 Å, b = 6.6051 Å, c = 6.6051 Å
α = 26.88°, β = 26.88°, γ = 26.88°
Last column: nearest neighbours and their distance in Å.
Fractional coordinates of all 4 atoms:
O 0.0977 0.0977 0.0977  1 Al 1.74
O 0.6484 0.6484 0.6484  3 Al 1.83
Pd 0.4983 0.4983 0.4983  3 O 2.19
Al 0.0066 0.0066 0.0066  4 O 1.74-1.83

4.
Material: SrSm2MnN4
Method: DFT, PBE-GGA
State: relaxed

Calculated values
For the uncorrected formation energy, the calculation gives -1.002 eV per atom.

a = 3.5200 Å, b = 6.2880 Å, c = 11.9605 Å
α = 90.00°, β = 90.00°, γ = 106.25°
Last column: nearest neighbours and their distance in Å.
Fractional coordinates of all 16 atoms:
Sm 0.3693 0.7386 0.9570  6 N 2.41-2.57
N 0.0000 0.0000 0.5000  4 Sm 2.42
Mn 0.8236 0.6472 0.7500  4 N 1.80-1.96
N 0.2614 0.5228 0.1264  1 Mn 1.80
Mn 0.1764 0.3528 0.2500  4 N 1.80-1.96
Sm 0.6307 0.2614 0.0430  6 N 2.41-2.57
N 0.7386 0.4772 0.6264  1 Mn 1.80
N 0.6046 0.2092 0.2500  2 Mn 1.96
Sm 0.3693 0.7386 0.5430  6 N 2.41-2.57
N 0.7386 0.4772 0.8736  1 Mn 1.80
N 0.3954 0.7908 0.7500  2 Mn 1.96
N 0.2614 0.5228 0.3736  1 Mn 1.80
Sr 0.0992 0.1985 0.7500  6 N 2.85-3.03
N 0.0000 0.0000 0.0000  4 Sm 2.42
Sr 0.9008 0.8015 0.2500  6 N 2.85-3.03
Sm 0.6307 0.2614 0.4570  6 N 2.41-2.57

5.
Material: PmB4H12
Method: DFT, PBE-GGA
State: relaxed

a = 5.3435 Å, b = 5.3435 Å, c = 5.3435 Å
α = 109.47°, β = 109.47°, γ = 109.47°
Last column: nearest neighbours and their distance in Å.
Fractional coordinates of all 17 atoms:
H 0.0008 0.7424 0.2583  2 B 1.54
H 0.5159 0.2576 0.2583  2 B 1.54
H 0.9992 0.2576 0.7417  2 B 1.54
H 0.2583 0.5159 0.2576  2 B 1.54
H 0.2576 0.7417 0.9992  2 B 1.54
H 0.2576 0.2583 0.5159  2 B 1.54
Pm 0.0000 0.0000 0.0000  12 H 2.25
B 0.0000 0.0000 0.5000  6 H 1.54
H 0.7417 0.4841 0.7424  2 B 1.54
B 0.5000 0.5000 0.5000  6 H 1.54
H 0.7417 0.9992 0.2576  2 B 1.54
H 0.7424 0.7417 0.4841  2 B 1.54
H 0.7424 0.2583 0.0008  2 B 1.54
H 0.2583 0.0008 0.7424  2 B 1.54
B 0.5000 0.0000 0.0000  6 H 1.54
H 0.4841 0.7424 0.7417  2 B 1.54
B 0.0000 0.5000 0.0000  6 H 1.54

6.
Material: TmThC2
Method: DFT, PBE-GGA
State: relaxed

Calculated values
Its offset from the most stable computed form is 0.70 eV per formula unit.

a = 3.6370 Å, b = 3.6370 Å, c = 6.4027 Å
α = 73.50°, β = 73.50°, γ = 60.00°
Last column: nearest neighbours and their distance in Å.
Fractional coordinates of all 4 atoms:
Th 0.6673 0.6673 0.9980  6 C 2.58-2.60
C 0.0848 0.0848 0.7456  3 Tm 2.54, 3 Th 2.60
C 0.2514 0.2514 0.2459  3 Th 2.58, 3 Tm 2.64
Tm 0.4965 0.4965 0.5105  6 C 2.54-2.64

7.
Material: CaTbSmEr
Method: DFT, PBE-GGA
State: relaxed

a = 5.7608 Å, b = 5.7608 Å, c = 5.7608 Å
α = 60.00°, β = 60.00°, γ = 60.00°
Last column: nearest neighbours and their distance in Å.
Fractional coordinates of all 4 atoms:
Ca 0.0000 0.0000 0.0000  4 Tb 3.53, 4 Sm 3.53
Er 0.5000 0.5000 0.5000  4 Sm 3.53, 4 Tb 3.53
Tb 0.2500 0.2500 0.2500  4 Ca 3.53, 4 Er 3.53
Sm 0.7500 0.7500 0.7500  4 Er 3.53, 4 Ca 3.53

8.
Material: YCuSbTe2
Method: DFT, PBE-GGA
State: relaxed

Calculated values
Its offset from the most stable computed form is 0.00 eV per formula unit. For the uncorrected formation energy, the calculation gives -0.103 eV per atom.

a = 5.2489 Å, b = 5.2489 Å, c = 5.0085 Å
α = 90.00°, β = 90.00°, γ = 90.00°
Last column: nearest neighbours and their distance in Å.
Fractional coordinates of all 5 atoms:
Sb 0.0000 0.0000 0.5000  2 Cu 2.50
Y 0.5000 0.5000 0.5000  8 Te 3.63, 4 Sb 3.71
Cu 0.0000 0.0000 0.0000  2 Sb 2.50, 4 Te 2.62
Te 0.5000 0.0000 0.0000  2 Cu 2.62
Te 0.0000 0.5000 0.0000  2 Cu 2.62

9.
Material: LaCrOs4
Method: DFT, PBE-GGA
State: relaxed

a = 5.3310 Å, b = 5.3310 Å, c = 5.3310 Å
α = 60.00°, β = 60.00°, γ = 60.00°
Last column: nearest neighbours and their distance in Å.
Fractional coordinates of all 6 atoms:
La 0.0000 0.0000 0.0000  12 Os 3.13, 4 Cr 3.26
Cr 0.7500 0.7500 0.7500  12 Os 3.12, 4 La 3.26
Os 0.3763 0.3763 0.3763  6 Os 2.64-2.69
Os 0.3763 0.8712 0.3763  6 Os 2.64-2.69
Os 0.3763 0.3763 0.8712  6 Os 2.64-2.69
Os 0.8712 0.3763 0.3763  6 Os 2.64-2.69

10.
Material: Sr3CoHg
Method: DFT, PBE-GGA
State: relaxed

Calculated values
Its offset from the most stable computed form is 0.00 eV per formula unit.

a = 5.6589 Å, b = 5.6589 Å, c = 5.6589 Å
α = 90.00°, β = 90.00°, γ = 90.00°
Last column: nearest neighbours and their distance in Å.
Fractional coordinates of all 5 atoms:
Hg 0.5000 0.5000 0.5000  12 Sr 4.00
Sr 0.5000 0.0000 0.0000  2 Co 2.83
Sr 0.0000 0.0000 0.5000  2 Co 2.83
Sr 0.0000 0.5000 0.0000  2 Co 2.83
Co 0.0000 0.0000 0.0000  6 Sr 2.83

11.
Material: Ac2HoPb3
Method: DFT, PBE-GGA
State: relaxed

Calculated values
Its offset from the most stable computed form is 0.00 eV per formula unit.

a = 5.9859 Å, b = 9.8564 Å, c = 7.5308 Å
α = 90.00°, β = 90.00°, γ = 63.11°
Last column: nearest neighbours and their distance in Å.
Fractional coordinates of all 12 atoms:
Pb 0.7945 0.3526 0.2280  3 Ho 3.38-3.48, 2 Pb 3.41-3.43, 5 Ac 3.56-3.73
Ho 0.6921 0.6707 0.0000  8 Pb 3.38-3.48, 1 Ho 3.70, 2 Ac 3.77
Pb 0.5000 0.0000 0.7681  2 Ho 3.40, 6 Ac 3.46-3.61, 1 Pb 3.49
Ac 0.3190 0.3222 0.5000  8 Pb 3.50-3.65, 2 Ho 3.77, 2 Ac 3.84-3.87
Pb 0.2054 0.6475 0.2280  3 Ho 3.38-3.48, 2 Pb 3.41-3.43, 5 Ac 3.56-3.73
Ac 0.0000 0.0000 0.5000  8 Pb 3.61-3.73, 4 Ac 3.77-3.87
Ac 0.0000 0.0000 0.0000  8 Pb 3.46-3.56, 2 Ac 3.77
Ho 0.3079 0.3293 0.0000  8 Pb 3.38-3.48, 1 Ho 3.70, 2 Ac 3.77
Ac 0.6810 0.6778 0.5000  8 Pb 3.50-3.65, 2 Ho 3.77, 2 Ac 3.84-3.87
Pb 0.7946 0.3525 0.7720  3 Ho 3.38-3.48, 2 Pb 3.41-3.43, 5 Ac 3.56-3.73
Pb 0.2055 0.6474 0.7720  3 Ho 3.38-3.48, 2 Pb 3.41-3.43, 5 Ac 3.56-3.73
Pb 0.5000 0.0000 0.2319  2 Ho 3.40, 6 Ac 3.46-3.61, 1 Pb 3.49

12.
Material: ReAsIr2
Method: DFT, PBE-GGA
State: relaxed

a = 4.6225 Å, b = 4.6225 Å, c = 4.6225 Å
α = 127.90°, β = 127.90°, γ = 76.79°
Last column: nearest neighbours and their distance in Å.
Fractional coordinates of all 4 atoms:
As 0.7500 0.2500 0.5000  8 Ir 2.72-2.87, 4 Re 2.72
Re 0.5000 0.5000 0.0000  4 As 2.72, 8 Ir 2.72-2.87
Ir 0.0000 0.0000 0.0000  4 Ir 2.72, 4 As 2.72, 4 Re 2.87
Ir 0.2500 0.7500 0.5000  4 Re 2.72, 4 Ir 2.72, 4 As 2.87

The records above yield calculated density values of 7.4, 4.1, 5.3, 6.5, 2.8, 10.2, 6.3, 6.4, 14.8, 4.8, 10.4, 18.0 g/cm³, respectively.
The records above yield size of the total moment values of 0.0000, 0.0000, 0.2625, 0.3410, 0.0000, 0.0002, 0.0004, 0.0000, 0.3284, 0.0000, 0.0001, 0.0000 μB per atom, respectively.
The records above yield total DFT energy (no corrections) values of -4.661, -3.725, -6.133, -7.701, -3.888, -7.552, -3.831, -4.296, -9.531, -2.383, -4.440, -8.390 eV per atom, respectively.